Crystalline ErIn2Hg4 at its relaxed geometry, computed with PBE.

a b c (Å): 5.024 5.024 8.779
angles (deg): 73.37 73.37 60.00
Fractional coordinates of all 7 atoms:
In1 0.748 0.748 0.756
In2 0.252 0.252 0.244
Hg1 0.867 0.867 0.400
Hg2 0.133 0.133 0.600
Hg3 0.617 0.617 0.149
Hg4 0.383 0.383 0.851
Er1 0.000 0.000 0.000

Results
electronic total energy	-1.80	eV per atom
M_tot	0.000	Bohr magnetons per cell
Fermi-level density of states	0.3426	states/eV per atom
space group	R-3m, No. 166

=====

Crystalline ErIn2Hg at its relaxed geometry, computed with PBE.

a b c (Å): 4.765 4.765 5.917
angles (deg): 66.25 66.25 60.00
Fractional coordinates of all 4 atoms:
In1 0.765 0.765 0.705
In2 0.235 0.235 0.295
Hg1 0.500 0.500 0.500
Er1 0.000 0.000 0.000

Results
M_tot	0.000	Bohr magnetons per cell
distance to the lowest polymorph of the same formula	0.220	eV/atom
Fermi-level density of states	0.4953	states/eV per atom
space group	R-3m, No. 166

=====

Crystalline ErIn7Hg12 at its relaxed geometry, computed with PBE.

a b c (Å): 10.068 8.486 8.486
angles (deg): 74.61 66.71 113.29
Fractional coordinates of all 20 atoms:
Er1 0.000 0.000 0.000
In1 0.049 0.366 0.094
In2 0.856 0.906 0.460
In3 0.317 0.460 0.634
In4 0.500 0.000 0.000
In5 0.683 0.540 0.366
In6 0.144 0.094 0.540
In7 0.951 0.634 0.906
Hg1 0.556 0.243 0.236
Hg2 0.208 0.764 0.479
Hg3 0.283 0.201 0.086
Hg4 0.630 0.914 0.287
Hg5 0.687 0.479 0.757
Hg6 0.918 0.287 0.799
Hg7 0.082 0.713 0.201
Hg8 0.313 0.521 0.243
Hg9 0.370 0.086 0.713
Hg10 0.717 0.799 0.914
Hg11 0.792 0.236 0.521
Hg12 0.444 0.757 0.764

Results
electronic total energy	-1.40	eV per atom
M_tot	0.000	Bohr magnetons per cell
Fermi-level density of states	0.4443	states/eV per atom
space group	R-3, No. 148

=====

Crystalline Er4In2Hg at its relaxed geometry, computed with PBE.

a b c (Å): 7.153 6.652 9.207
angles (deg): 90.00 114.65 90.00
Fractional coordinates of all 14 atoms:
Er1 0.564 0.492 0.226
Er2 0.022 0.750 0.831
Er3 0.978 0.250 0.169
Er4 0.564 0.008 0.226
Er5 0.960 0.250 0.556
Er6 0.436 0.992 0.774
Er7 0.436 0.508 0.774
Er8 0.040 0.750 0.444
In1 0.777 0.750 0.058
In2 0.223 0.250 0.942
In3 0.405 0.250 0.467
In4 0.595 0.750 0.533
Hg1 0.213 0.750 0.194
Hg2 0.787 0.250 0.806

Results
M_tot	0.000	Bohr magnetons per cell
distance to the lowest polymorph of the same formula	0.069	eV/atom
Fermi-level density of states	0.9026	states/eV per atom
space group	P2_1/m, No. 11

=====

Crystalline Er2InHg at its relaxed geometry, computed with PBE.

a b c (Å): 3.680 3.680 9.630
angles (deg): 78.98 78.98 60.00
Fractional coordinates of all 4 atoms:
In1 0.500 0.500 0.500
Hg1 0.000 0.000 0.000
Er1 0.252 0.252 0.245
Er2 0.748 0.748 0.755

Results
electronic total energy	-3.38	eV per atom
M_tot	0.000	Bohr magnetons per cell
Fermi-level density of states	0.7951	states/eV per atom
space group	R-3m, No. 166

=====

Crystalline ErInHg5 at its relaxed geometry, computed with PBE.

a b c (Å): 5.059 5.059 7.082
angles (deg): 90.00 90.00 90.00
Fractional coordinates of all 7 atoms:
Er1 0.000 0.000 0.000
In1 0.000 0.000 0.500
Hg1 0.500 0.000 0.731
Hg2 0.000 0.500 0.731
Hg3 0.500 0.500 0.000
Hg4 0.000 0.500 0.269
Hg5 0.500 0.000 0.269

Results
electronic total energy	-1.43	eV per atom
M_tot	0.000	Bohr magnetons per cell
Fermi-level density of states	0.3493	states/eV per atom
space group	P4/mmm, No. 123